Entry from the Alexandria database: an optimized crystal structure of V2CrB6 (PBE-GGA).

Properties
- DFT total energy (eV per cell) = -73.45
- density of states at the Fermi level (states/eV/atom) = 0.453
- volume (Å³/cell) = 70.06
- ΔE_f (eV/atom) = -0.614

Cell lengths 5.1651, 5.1651, 3.0324 Å; angles 90.00, 90.00, 120.00 degrees
Space group P6/mmm (No. 191)
Inequivalent atoms, fractional coordinates:
V: 0.3333 0.6667 0.0000 (multiplicity 2)
Cr: 0.0000 0.0000 0.0000 (multiplicity 1)
B: 0.0000 0.3322 0.5000 (multiplicity 6)

Entry from the Alexandria database: an optimized crystal structure of VCr3B (PBE-GGA).

Properties
- DFT total energy (eV per cell) = -43.37
- density of states at the Fermi level (states/eV/atom) = 1.625
- volume (Å³/cell) = 58.65
- ΔE_f (eV/atom) = 0.259

Cell lengths 3.885, 3.885, 3.885 Å; angles 90.00, 90.00, 90.00 degrees
Space group Pm-3m (No. 221)
Inequivalent atoms, fractional coordinates:
V: 0.000 0.000 0.000 (multiplicity 1)
Cr: 0.000 0.500 0.500 (multiplicity 3)
B: 0.500 0.500 0.500 (multiplicity 1)

Entry from the Alexandria database: an optimized crystal structure of VCrB2 (PBE-GGA).

Properties
- DFT total energy (eV per cell) = -99.44
- density of states at the Fermi level (states/eV/atom) = 0.502
- volume (Å³/cell) = 112.42
- ΔE_f (eV/atom) = -0.262

Cell lengths 2.9794, 2.9794, 14.6240 Å; angles 90.00, 90.00, 120.00 degrees
Space group R-3m (No. 166, hexagonal axes)
Inequivalent atoms, fractional coordinates:
V: 0.0000 0.0000 0.0000 (multiplicity 3)
Cr: 0.0000 0.0000 0.5000 (multiplicity 3)
B: 0.0000 0.0000 0.2471 (multiplicity 6)

Entry from the Alexandria database: an optimized crystal structure of VCrB2 (PBE-GGA).

Properties
- DFT total energy (eV per cell) = -114.12
- density of states at the Fermi level (states/eV/atom) = 1.000
- volume (Å³/cell) = 198.46
- ΔE_f (eV/atom) = 0.892

Cell lengths 4.530, 4.530, 9.672 Å; angles 90.00, 90.00, 90.00 degrees
Space group I-42d (No. 122)
Inequivalent atoms, fractional coordinates:
V: 0.000 0.000 0.000 (multiplicity 4)
Cr: 0.000 0.000 0.500 (multiplicity 4)
B: 0.232 0.250 0.625 (multiplicity 8)